Record 1
A plane-wave DFT calculation with PBE-GGA was carried out for a relaxed La2Sm8Zn crystal.

```
La2Sm8Zn
1.0
9.038 -2.815 0.000
9.038 2.815 0.000
-2.333 0.000 7.100
La Sm Zn
2 8 1
direct
0.185 0.185 0.174
0.815 0.815 0.826
0.015 0.015 0.278
0.184 0.184 0.730
0.345 0.345 0.562
0.400 0.400 0.080
0.600 0.600 0.920
0.655 0.655 0.438
0.816 0.816 0.270
0.985 0.985 0.722
0.500 0.500 0.500
```

Summary:
DFT total energy: -4.39 eV per atom
magnetic moment: 0.00 μB per formula unit
DFT formation energy: 61 kJ/mol of formula units



Record 2
A plane-wave DFT calculation with PBE-GGA was carried out for a relaxed SrTlTe crystal.

```
SrTlTe
1.0
0.000 3.916 3.916
3.916 0.000 3.916
3.916 3.916 0.000
Sr Tl Te
1 1 1
direct
0.000 0.000 0.000
0.500 0.500 0.500
0.750 0.750 0.750
```

Summary:
DFT total energy: -3.10 eV per atom
ΔE_f (raw): -707 meV/atom
magnetic moment: 0.00 μB per formula unit



Number 1: D(E_F) 1.546 states/eV/atom. Number 2: D(E_F) 0.579 states/eV/atom.